[1]
{
  "formula": "TbPt",
  "functional": "PBEsol",
  "state": "optimized geometry",
  "lattice": [[6.920, 0.000, 0.000], [0.000, 4.489, 0.000], [0.000, 0.000, 5.513]],
  "species": ["Tb", "Tb", "Tb", "Tb", "Pt", "Pt", "Pt", "Pt"],
  "fractional_positions": [[0.182, 0.250, 0.141], [0.318, 0.750, 0.641], [0.682, 0.250, 0.359], [0.818, 0.750, 0.859], [0.043, 0.250, 0.655], [0.457, 0.750, 0.155], [0.543, 0.250, 0.845], [0.957, 0.750, 0.345]],
  "ef_ev_per_atom": -1.23
}

[2]
{
  "formula": "Tb5Pt4",
  "functional": "PBEsol",
  "state": "optimized geometry",
  "lattice": [[7.412, 0.000, 0.000], [0.000, 14.435, 0.000], [0.000, 0.000, 7.525]],
  "species": ["Tb", "Tb", "Tb", "Tb", "Tb", "Tb", "Tb", "Tb", "Tb", "Tb", "Tb", "Tb", "Tb", "Tb", "Tb", "Tb", "Tb", "Tb", "Tb", "Tb", "Pt", "Pt", "Pt", "Pt", "Pt", "Pt", "Pt", "Pt", "Pt", "Pt", "Pt", "Pt", "Pt", "Pt", "Pt", "Pt"],
  "fractional_positions": [[0.002, 0.093, 0.180], [0.002, 0.407, 0.180], [0.158, 0.123, 0.667], [0.158, 0.377, 0.667], [0.179, 0.750, 0.512], [0.321, 0.250, 0.012], [0.342, 0.623, 0.167], [0.342, 0.877, 0.167], [0.498, 0.593, 0.680], [0.498, 0.907, 0.680], [0.502, 0.093, 0.320], [0.502, 0.407, 0.320], [0.658, 0.123, 0.833], [0.658, 0.377, 0.833], [0.679, 0.750, 0.988], [0.821, 0.250, 0.488], [0.842, 0.623, 0.333], [0.842, 0.877, 0.333], [0.998, 0.593, 0.820], [0.998, 0.907, 0.820], [0.046, 0.750, 0.111], [0.182, 0.541, 0.467], [0.182, 0.959, 0.467], [0.188, 0.250, 0.358], [0.312, 0.750, 0.858], [0.318, 0.041, 0.967], [0.318, 0.459, 0.967], [0.454, 0.250, 0.611], [0.546, 0.750, 0.389], [0.682, 0.541, 0.033], [0.682, 0.959, 0.033], [0.688, 0.250, 0.142], [0.812, 0.750, 0.642], [0.818, 0.041, 0.533], [0.818, 0.459, 0.533], [0.954, 0.250, 0.889]],
  "ef_ev_per_atom": -1.11
}

[3]
{
  "formula": "Tb3Pt",
  "functional": "PBEsol",
  "state": "optimized geometry",
  "lattice": [[6.953, 0.000, 0.000], [0.000, 9.464, 0.000], [0.000, 0.000, 6.400]],
  "species": ["Tb", "Tb", "Tb", "Tb", "Tb", "Tb", "Tb", "Tb", "Tb", "Tb", "Tb", "Tb", "Pt", "Pt", "Pt", "Pt"],
  "fractional_positions": [[0.024, 0.250, 0.130], [0.181, 0.059, 0.677], [0.181, 0.441, 0.677], [0.319, 0.559, 0.177], [0.319, 0.941, 0.177], [0.476, 0.750, 0.630], [0.524, 0.250, 0.370], [0.681, 0.059, 0.823], [0.681, 0.441, 0.823], [0.819, 0.559, 0.323], [0.819, 0.941, 0.323], [0.976, 0.750, 0.870], [0.112, 0.750, 0.446], [0.388, 0.250, 0.946], [0.612, 0.750, 0.054], [0.888, 0.250, 0.554]],
  "ef_ev_per_atom": -0.67
}

[4]
{
  "formula": "Tb5Pt3",
  "functional": "PBEsol",
  "state": "optimized geometry",
  "lattice": [[8.353, 0.000, 0.000], [-4.177, 7.234, 0.000], [0.000, 0.000, 6.094]],
  "species": ["Tb", "Tb", "Tb", "Tb", "Tb", "Tb", "Tb", "Tb", "Tb", "Tb", "Pt", "Pt", "Pt", "Pt", "Pt", "Pt"],
  "fractional_positions": [[0.000, 0.246, 0.250], [0.000, 0.754, 0.750], [0.246, 0.000, 0.250], [0.246, 0.246, 0.750], [0.333, 0.667, 0.000], [0.333, 0.667, 0.500], [0.667, 0.333, 0.000], [0.667, 0.333, 0.500], [0.754, 0.000, 0.750], [0.754, 0.754, 0.250], [0.000, 0.395, 0.750], [0.000, 0.605, 0.250], [0.395, 0.000, 0.750], [0.395, 0.395, 0.250], [0.605, 0.000, 0.250], [0.605, 0.605, 0.750]],
  "ef_ev_per_atom": -0.96
}